This record from Alexandria describes a relaxed CoTcAg2 crystal. The functional is PBE.

abc: 4.720 4.720 4.720
angles: 129.14 129.14 74.79
Each line ends with the local moment (μB).
Fractional coordinates of all 4 atoms:
Ag: 0.000 0.000 0.000  0.07
Ag: 0.250 0.750 0.500  0.05
Co: 0.500 0.500 0.000  1.72
Tc: 0.750 0.250 0.500  1.46

Summary:
As for the space-group type: I-4m2. The calculation puts the distance to the lowest polymorph of the same formula at 392 meV/atom. As for the formation energy: 0.655 eV/atom.